Density functional theory data (PBE) for a relaxed CaHgP2S crystal.

The structure in POSCAR format:
```
CaHgP2S
1.0
5.365 0.000 0.000
0.000 5.365 0.000
0.000 0.000 5.114
P Hg Ca S
2 1 1 1
direct
0.000 0.500 0.000
0.500 0.000 0.000
0.500 0.500 0.500
0.000 0.000 0.000
0.000 0.000 0.500
```

## Properties
**DFT total energy**: -0.19706 Ry per atom
**Theoretical density**: 3.8 g/cm3
**E_form (uncorrected)**: 769 meV per atom
**Space group**: P4/mmm
**Energy relative to the lowest polymorph listed for this composition**: 177.5 kJ/mol of formula units